The following is a PBE calculation of a relaxed Tm8Pt5Rh crystal, from Alexandria via LeMat-Bulk.

Results
**Uncorrected energy**: -0.4667 Ry per atom
**Calculated volume**: 22.59 Å³/atom
**E_form**: -25.6 kcal/mol of atoms

Unit cell a=7.434 b=7.434 c=7.434 alpha=109.59 beta=109.59 gamma=109.24
Positions (direct):
Tm  0.004  0.131  0.749
Tm  0.244  0.493  0.617
Tm  0.373  0.756  0.249
Tm  0.382  0.255  0.251
Tm  0.507  0.124  0.751
Tm  0.745  0.996  0.127
Tm  0.869  0.618  0.873
Tm  0.876  0.627  0.383
Pt  0.128  0.002  0.376
Pt  0.248  0.872  0.874
Pt  0.500  0.500  0.000
Pt  0.626  0.752  0.624
Pt  0.998  0.374  0.126
Rh  0.750  0.250  0.500